Entry 1:
The following is a DFT calculation (GGA-PBE) of crystalline NaAl4Zn at its relaxed geometry.

a = 5.483 Å, b = 5.483 Å, c = 5.483 Å
α = 60.00°, β = 60.00°, γ = 60.00°
Atoms (fractional coordinates):
Na1 0.000 0.000 0.000
Al1 0.375 0.375 0.375
Al2 0.375 0.375 0.875
Al3 0.375 0.875 0.375
Al4 0.875 0.375 0.375
Zn1 0.750 0.750 0.750

Results
ρ (Mg/m³): 2.80
Calculated volume (Å³ per atom): 19.42
Energy relative to the elements (kJ per mole of atoms): 13.4
Space group: F-43m, No. 216

=====

Entry 2:
The following is a DFT calculation (GGA-PBE) of crystalline NaZr3Al at its relaxed geometry.

a = 5.165 Å, b = 5.165 Å, c = 5.165 Å
α = 90.00°, β = 90.00°, γ = 90.00°
Atoms (fractional coordinates):
Na1 0.000 0.000 0.000
Zr1 0.000 0.500 0.500
Zr2 0.500 0.000 0.500
Zr3 0.500 0.500 0.000
Al1 0.500 0.500 0.500

Results
ρ (Mg/m³): 3.90
Calculated volume (Å³ per atom): 27.55
Energy relative to the elements (kJ per mole of atoms): 75.1
Energy above the lowest structure with this stoichiometry (meV per atom): 0
Space group: Pm-3m, No. 221

=====

Entry 3:
The following is a DFT calculation (GGA-PBE) of crystalline NaZrAl3 at its relaxed geometry.

a = 5.323 Å, b = 5.323 Å, c = 5.323 Å
α = 90.00°, β = 90.00°, γ = 90.00°
Atoms (fractional coordinates):
Na1 0.000 0.000 0.000
Zr1 0.500 0.500 0.500
Al1 0.000 0.500 0.500
Al2 0.500 0.000 0.500
Al3 0.500 0.500 0.000

Results
ρ (Mg/m³): 2.15
Calculated volume (Å³ per atom): 30.17
Energy relative to the elements (kJ per mole of atoms): 62.7
Energy above the lowest structure with this stoichiometry (meV per atom): 0
Space group: Pm-3m, No. 221

=====

Entry 4:
The following is a DFT calculation (GGA-PBE) of crystalline NaZr3Al at its relaxed geometry.

a = 4.946 Å, b = 4.946 Å, c = 4.946 Å
α = 90.00°, β = 90.00°, γ = 90.00°
Atoms (fractional coordinates):
Na1 0.000 0.000 0.000
Zr1 0.000 0.000 0.500
Zr2 0.000 0.500 0.000
Zr3 0.500 0.000 0.000
Al1 0.500 0.500 0.500

Results
ρ (Mg/m³): 4.44
Calculated volume (Å³ per atom): 24.20
Energy relative to the elements (kJ per mole of atoms): 126.0
Energy above the lowest structure with this stoichiometry (meV per atom): 528
Space group: Pm-3m, No. 221

=====

Entry 5:
The following is a DFT calculation (GGA-PBE) of crystalline NaZrAl3 at its relaxed geometry.

a = 4.762 Å, b = 4.762 Å, c = 4.762 Å
α = 90.00°, β = 90.00°, γ = 90.00°
Atoms (fractional coordinates):
Na1 0.000 0.000 0.000
Zr1 0.500 0.500 0.500
Al1 0.000 0.000 0.500
Al2 0.000 0.500 0.000
Al3 0.500 0.000 0.000

Results
ρ (Mg/m³): 3.00
Calculated volume (Å³ per atom): 21.60
Energy relative to the elements (kJ per mole of atoms): 95.1
Energy above the lowest structure with this stoichiometry (meV per atom): 335
Space group: Pm-3m, No. 221

=====

Entry 6:
The following is a DFT calculation (GGA-PBE) of crystalline NbAl4 at its relaxed geometry.

a = 5.240 Å, b = 5.240 Å, c = 5.240 Å
α = 123.15°, β = 123.15°, γ = 84.63°
Atoms (fractional coordinates):
Nb1 0.000 0.000 0.000
Al1 0.250 0.750 0.500
Al2 0.344 0.344 0.000
Al3 0.656 0.656 0.000
Al4 0.750 0.250 0.500

Results
ρ (Mg/m³): 3.46
Calculated volume (Å³ per atom): 19.29
Energy relative to the elements (kJ per mole of atoms): 52.7
Energy above the lowest structure with this stoichiometry (meV per atom): 0
Space group: I4/mmm, No. 139

=====

Entry 7:
The following is a DFT calculation (GGA-PBE) of crystalline Nb4Al5 at its relaxed geometry.

a = 6.175 Å, b = 6.175 Å, c = 6.175 Å
α = 99.51°, β = 99.51°, γ = 132.03°
Atoms (fractional coordinates):
Nb1 0.037 0.660 0.697
Nb2 0.340 0.037 0.377
Nb3 0.660 0.963 0.623
Nb4 0.963 0.340 0.303
Al1 0.000 0.000 0.000
Al2 0.299 0.380 0.679
Al3 0.380 0.701 0.080
Al4 0.620 0.299 0.920
Al5 0.701 0.620 0.321

Results
ρ (Mg/m³): 5.26
Calculated volume (Å³ per atom): 17.76
Energy relative to the elements (kJ per mole of atoms): 3.1
Space group: I4/m, No. 87

=====

Entry 8:
The following is a DFT calculation (GGA-PBE) of crystalline Nb4Al at its relaxed geometry.

a = 11.706 Å, b = 11.611 Å, c = 2.835 Å
α = 84.92°, β = 81.12°, γ = 13.96°
Atoms (fractional coordinates):
Nb1 0.097 0.097 0.903
Nb2 0.302 0.302 0.698
Nb3 0.698 0.698 0.302
Nb4 0.903 0.903 0.097
Al1 0.500 0.500 0.500

Results
ρ (Mg/m³): 7.46
Calculated volume (Å³ per atom): 17.75
Energy relative to the elements (kJ per mole of atoms): -11.8
Energy above the lowest structure with this stoichiometry (meV per atom): 0
Space group: Fmmm, No. 69

=====

Entry 9:
The following is a DFT calculation (GGA-PBE) of crystalline Nb5Al at its relaxed geometry.

a = 7.241 Å, b = 7.241 Å, c = 3.442 Å
α = 90.00°, β = 90.00°, γ = 143.57°
Atoms (fractional coordinates):
Nb1 0.000 0.000 0.000
Nb2 0.160 0.840 0.500
Nb3 0.331 0.669 0.000
Nb4 0.669 0.331 0.000
Nb5 0.840 0.160 0.500
Al1 0.500 0.500 0.500

Results
ρ (Mg/m³): 7.62
Calculated volume (Å³ per atom): 17.86
Energy relative to the elements (kJ per mole of atoms): -12.2
Space group: Cmmm, No. 65

=====

Entry 10:
The following is a DFT calculation (GGA-PBE) of crystalline NbAl4 at its relaxed geometry.

a = 5.041 Å, b = 5.041 Å, c = 5.041 Å
α = 90.00°, β = 90.00°, γ = 90.00°
Atoms (fractional coordinates):
Nb1 0.000 0.000 0.000
Al1 0.000 0.000 0.500
Al2 0.000 0.500 0.000
Al3 0.500 0.000 0.000
Al4 0.500 0.500 0.500

Results
ρ (Mg/m³): 2.60
Calculated volume (Å³ per atom): 25.62
Energy relative to the elements (kJ per mole of atoms): 84.3
Energy above the lowest structure with this stoichiometry (meV per atom): 328
Space group: Pm-3m, No. 221

=====

Entry 11:
The following is a DFT calculation (GGA-PBE) of crystalline Nb4Al at its relaxed geometry.

a = 5.135 Å, b = 8.054 Å, c = 4.814 Å
α = 90.00°, β = 111.39°, γ = 90.00°
Atoms (fractional coordinates):
Nb1 0.167 0.175 0.075
Nb2 0.167 0.825 0.575
Nb3 0.239 0.408 0.574
Nb4 0.239 0.592 0.074
Nb5 0.761 0.408 0.926
Nb6 0.761 0.592 0.426
Nb7 0.833 0.175 0.425
Nb8 0.833 0.825 0.925
Al1 0.500 0.103 0.750
Al2 0.500 0.897 0.250

Results
ρ (Mg/m³): 7.14
Calculated volume (Å³ per atom): 18.54
Energy relative to the elements (kJ per mole of atoms): 15.3
Energy above the lowest structure with this stoichiometry (meV per atom): 281
Space group: P2/c, No. 13

=====

Entry 12:
The following is a DFT calculation (GGA-PBE) of crystalline NbAl8 at its relaxed geometry.

a = 8.817 Å, b = 6.755 Å, c = 6.284 Å
α = 85.02°, β = 49.75°, γ = 45.23°
Atoms (fractional coordinates):
Nb1 0.000 0.000 0.000
Al1 0.002 0.329 0.671
Al2 0.329 0.002 0.998
Al3 0.333 0.667 0.333
Al4 0.338 0.338 0.662
Al5 0.662 0.662 0.338
Al6 0.667 0.333 0.667
Al7 0.671 0.998 0.002
Al8 0.998 0.671 0.329

Results
ρ (Mg/m³): 3.45
Calculated volume (Å³ per atom): 16.53
Energy relative to the elements (kJ per mole of atoms): -6.9
Space group: Fmmm, No. 69

=====

Entry 13:
The following is a DFT calculation (GGA-PBE) of crystalline Nb4Al at its relaxed geometry.

a = 4.701 Å, b = 4.701 Å, c = 4.701 Å
α = 90.00°, β = 90.00°, γ = 90.00°
Atoms (fractional coordinates):
Nb1 0.000 0.000 0.000
Nb2 0.000 0.500 0.500
Nb3 0.500 0.000 0.500
Nb4 0.500 0.500 0.000
Al1 0.500 0.500 0.500

Results
ρ (Mg/m³): 6.37
Calculated volume (Å³ per atom): 20.78
Energy relative to the elements (kJ per mole of atoms): 111.6
Energy above the lowest structure with this stoichiometry (meV per atom): 1279
Space group: Pm-3m, No. 221

=====

Entry 14:
The following is a DFT calculation (GGA-PBE) of crystalline Nb2Al3 at its relaxed geometry.

a = 5.085 Å, b = 5.085 Å, c = 6.509 Å
α = 128.88°, β = 128.88°, γ = 42.46°
Atoms (fractional coordinates):
Nb1 0.095 0.095 0.378
Nb2 0.905 0.905 0.622
Al1 0.303 0.303 0.205
Al2 0.500 0.500 0.000
Al3 0.697 0.697 0.795

Results
ρ (Mg/m³): 5.27
Calculated volume (Å³ per atom): 16.80
Energy relative to the elements (kJ per mole of atoms): -29.5
Space group: C2/m, No. 12

=====

Entry 15:
The following is a DFT calculation (GGA-PBE) of crystalline Nd2NbAl at its relaxed geometry.

a = 11.531 Å, b = 11.531 Å, c = 11.531 Å
α = 16.03°, β = 16.03°, γ = 16.03°
Atoms (fractional coordinates):
Nd1 0.089 0.089 0.089
Nd2 0.911 0.911 0.911
Nb1 0.000 0.000 0.000
Al1 0.500 0.500 0.500

Results
ρ (Mg/m³): 6.65
Calculated volume (Å³ per atom): 25.48
Energy relative to the elements (kJ per mole of atoms): 50.4
Space group: R-3m, No. 166

=====

Entry 16:
The following is a DFT calculation (GGA-PBE) of crystalline NdNbAl4 at its relaxed geometry.

a = 5.422 Å, b = 5.422 Å, c = 5.422 Å
α = 60.00°, β = 60.00°, γ = 60.00°
Atoms (fractional coordinates):
Nd1 0.000 0.000 0.000
Nb1 0.750 0.750 0.750
Al1 0.376 0.376 0.376
Al2 0.376 0.376 0.873
Al3 0.376 0.873 0.376
Al4 0.873 0.376 0.376

Results
ρ (Mg/m³): 5.08
Calculated volume (Å³ per atom): 18.79
Energy relative to the elements (kJ per mole of atoms): -30.1
Space group: F-43m, No. 216

=====

Entry 17:
The following is a DFT calculation (GGA-PBE) of crystalline NdNbAl at its relaxed geometry.

a = 7.265 Å, b = 7.265 Å, c = 4.709 Å
α = 90.00°, β = 90.00°, γ = 120.00°
Atoms (fractional coordinates):
Nd1 0.000 0.575 0.000
Nd2 0.425 0.425 0.000
Nd3 0.575 0.000 0.000
Nb1 0.000 0.212 0.500
Nb2 0.212 0.000 0.500
Nb3 0.788 0.788 0.500
Al1 0.000 0.000 0.000
Al2 0.333 0.667 0.500
Al3 0.667 0.333 0.500

Results
ρ (Mg/m³): 6.11
Calculated volume (Å³ per atom): 23.92
Energy relative to the elements (kJ per mole of atoms): -7.3
Space group: P-62m, No. 189

=====

Entry 18:
The following is a DFT calculation (GGA-PBE) of crystalline NdNbAl2 at its relaxed geometry.

a = 3.565 Å, b = 3.565 Å, c = 6.610 Å
α = 90.00°, β = 90.00°, γ = 90.00°
Atoms (fractional coordinates):
Nd1 0.000 0.000 0.000
Nb1 0.000 0.000 0.500
Al1 0.500 0.500 0.306
Al2 0.500 0.500 0.694

Results
ρ (Mg/m³): 5.75
Calculated volume (Å³ per atom): 21.01
Energy relative to the elements (kJ per mole of atoms): -20.7
Energy above the lowest structure with this stoichiometry (meV per atom): 0
Space group: P4/mmm, No. 123

=====

Entry 19:
The following is a DFT calculation (GGA-PBE) of crystalline NdNbAl2 at its relaxed geometry.

a = 10.248 Å, b = 10.248 Å, c = 10.248 Å
α = 17.40°, β = 17.40°, γ = 17.40°
Atoms (fractional coordinates):
Nd1 0.000 0.000 0.000
Nb1 0.500 0.500 0.500
Al1 0.240 0.240 0.240
Al2 0.760 0.760 0.760

Results
ρ (Mg/m³): 5.76
Calculated volume (Å³ per atom): 20.99
Energy relative to the elements (kJ per mole of atoms): 2.9
Energy above the lowest structure with this stoichiometry (meV per atom): 245
Space group: R-3m, No. 166

=====

Entry 20:
The following is a DFT calculation (GGA-PBE) of crystalline NbAl4Ni15 at its relaxed geometry.

a = 3.597 Å, b = 3.597 Å, c = 17.854 Å
α = 90.00°, β = 90.00°, γ = 90.00°
Atoms (fractional coordinates):
Nb1 0.000 0.000 0.000
Al1 0.000 0.000 0.205
Al2 0.000 0.000 0.401
Al3 0.000 0.000 0.599
Al4 0.000 0.000 0.795
Ni1 0.000 0.500 0.104
Ni2 0.000 0.500 0.303
Ni3 0.000 0.500 0.500
Ni4 0.000 0.500 0.697
Ni5 0.000 0.500 0.896
Ni6 0.500 0.000 0.104
Ni7 0.500 0.000 0.303
Ni8 0.500 0.000 0.500
Ni9 0.500 0.000 0.697
Ni10 0.500 0.000 0.896
Ni11 0.500 0.500 0.000
Ni12 0.500 0.500 0.203
Ni13 0.500 0.500 0.401
Ni14 0.500 0.500 0.599
Ni15 0.500 0.500 0.797

Results
ρ (Mg/m³): 7.77
Calculated volume (Å³ per atom): 11.55
Energy relative to the elements (kJ per mole of atoms): -40.0
Space group: P4/mmm, No. 123

=====

Entry 21:
The following is a DFT calculation (GGA-PBE) of crystalline NbAl2Ni at its relaxed geometry.

a = 4.904 Å, b = 4.904 Å, c = 4.904 Å
α = 48.33°, β = 48.33°, γ = 48.33°
Atoms (fractional coordinates):
Nb1 0.000 0.000 0.000
Al1 0.222 0.222 0.222
Al2 0.778 0.778 0.778
Ni1 0.500 0.500 0.500

Results
ρ (Mg/m³): 5.66
Calculated volume (Å³ per atom): 15.08
Energy relative to the elements (kJ per mole of atoms): -26.0
Space group: R-3m, No. 166

=====

Entry 22:
The following is a DFT calculation (GGA-PBE) of crystalline NbAl2Ni at its relaxed geometry.

a = 4.362 Å, b = 4.362 Å, c = 4.362 Å
α = 60.00°, β = 60.00°, γ = 60.00°
Atoms (fractional coordinates):
Nb1 0.000 0.000 0.000
Al1 0.250 0.250 0.250
Al2 0.750 0.750 0.750
Ni1 0.500 0.500 0.500

Results
ρ (Mg/m³): 5.81
Calculated volume (Å³ per atom): 14.68
Energy relative to the elements (kJ per mole of atoms): -16.6
Space group: Fm-3m, No. 225

=====

Entry 23:
The following is a DFT calculation (GGA-PBE) of crystalline NbAl3Ni at its relaxed geometry.

a = 4.384 Å, b = 4.384 Å, c = 4.384 Å
α = 90.00°, β = 90.00°, γ = 90.00°
Atoms (fractional coordinates):
Nb1 0.000 0.000 0.000
Al1 0.000 0.500 0.500
Al2 0.500 0.000 0.500
Al3 0.500 0.500 0.000
Ni1 0.500 0.500 0.500

Results
ρ (Mg/m³): 4.58
Calculated volume (Å³ per atom): 16.86
Energy relative to the elements (kJ per mole of atoms): 19.6
Energy above the lowest structure with this stoichiometry (meV per atom): 0
Space group: Pm-3m, No. 221

=====

Entry 24:
The following is a DFT calculation (GGA-PBE) of crystalline NbAlNi3 at its relaxed geometry.

a = 4.203 Å, b = 4.203 Å, c = 4.203 Å
α = 90.00°, β = 90.00°, γ = 90.00°
Atoms (fractional coordinates):
Nb1 0.000 0.000 0.000
Al1 0.500 0.500 0.500
Ni1 0.000 0.500 0.500
Ni2 0.500 0.000 0.500
Ni3 0.500 0.500 0.000

Results
ρ (Mg/m³): 6.62
Calculated volume (Å³ per atom): 14.84
Energy relative to the elements (kJ per mole of atoms): 59.8
Energy above the lowest structure with this stoichiometry (meV per atom): 0
Space group: Pm-3m, No. 221

=====

Entry 25:
The following is a DFT calculation (GGA-PBE) of crystalline NbAl3Ni2 at its relaxed geometry.

a = 2.877 Å, b = 2.877 Å, c = 9.897 Å
α = 90.00°, β = 90.00°, γ = 90.00°
Atoms (fractional coordinates):
Nb1 0.000 0.000 0.000
Al1 0.500 0.500 0.207
Al2 0.500 0.500 0.500
Al3 0.500 0.500 0.793
Ni1 0.000 0.000 0.352
Ni2 0.000 0.000 0.648

Results
ρ (Mg/m³): 5.90
Calculated volume (Å³ per atom): 13.65
Energy relative to the elements (kJ per mole of atoms): -54.1
Space group: P4/mmm, No. 123

=====

Entry 26:
The following is a DFT calculation (GGA-PBE) of crystalline NbAl3Ni12 at its relaxed geometry.

a = 3.607 Å, b = 3.607 Å, c = 14.265 Å
α = 90.00°, β = 90.00°, γ = 90.00°
Atoms (fractional coordinates):
Nb1 0.000 0.000 0.000
Al1 0.000 0.000 0.256
Al2 0.000 0.000 0.500
Al3 0.000 0.000 0.744
Ni1 0.000 0.500 0.130
Ni2 0.000 0.500 0.377
Ni3 0.000 0.500 0.623
Ni4 0.000 0.500 0.870
Ni5 0.500 0.000 0.130
Ni6 0.500 0.000 0.377
Ni7 0.500 0.000 0.623
Ni8 0.500 0.000 0.870
Ni9 0.500 0.500 0.000
Ni10 0.500 0.500 0.254
Ni11 0.500 0.500 0.500
Ni12 0.500 0.500 0.746

Results
ρ (Mg/m³): 7.86
Calculated volume (Å³ per atom): 11.60
Energy relative to the elements (kJ per mole of atoms): -40.0
Space group: P4/mmm, No. 123

=====

Entry 27:
The following is a DFT calculation (GGA-PBE) of crystalline Nb2AlNi at its relaxed geometry.

a = 6.359 Å, b = 6.359 Å, c = 6.359 Å
α = 33.67°, β = 33.67°, γ = 33.67°
Atoms (fractional coordinates):
Nb1 0.237 0.237 0.237
Nb2 0.763 0.763 0.763
Al1 0.000 0.000 0.000
Ni1 0.500 0.500 0.500

Results
ρ (Mg/m³): 6.40
Calculated volume (Å³ per atom): 17.61
Energy relative to the elements (kJ per mole of atoms): 32.1
Space group: R-3m, No. 166